No. 1
PrIn5Co (PBE, optimized geometry); symmetry = No. 123; VASP energy = -27.5 eV per cell; total magnetic moment = 0.0 μB per cell
1.0
-0.204 2.872 -3.625
-2.217 -3.245 -2.446
-6.706 2.691 2.510
Pr Co In
1 1 5
Direct
0.000 0.000 0.000
0.000 0.000 0.500
0.500 0.500 0.000
0.500 0.000 0.689
0.000 0.500 0.311
0.500 0.000 0.311
0.000 0.500 0.689

---

No. 2
PrIn3Co (PBE, optimized geometry); symmetry = No. 221; VASP energy = -21.0 eV per cell; total magnetic moment = 0.4 μB per cell
1.0
-2.915 -0.018 -3.990
-2.420 -3.921 1.786
-3.173 3.007 2.304
Pr Co In
1 1 3
Direct
0.500 0.500 0.500
0.000 0.000 0.000
0.000 0.500 0.000
0.000 0.000 0.500
0.500 0.000 0.000

---

No. 3
PrInCo2 (PBE, optimized geometry); symmetry = No. 51; VASP energy = -45.0 eV per cell; total magnetic moment = 4.5 μB per cell
1.0
-1.906 2.947 -2.007
-0.614 -3.164 -4.063
-6.446 -2.291 2.757
Pr Co In
2 4 2
Direct
0.000 0.750 0.711
0.000 0.250 0.289
0.000 0.250 0.922
0.000 0.750 0.078
0.500 0.000 0.000
0.500 0.500 0.000
0.500 0.250 0.667
0.500 0.750 0.333

---

No. 4
Pr6InCo2 (PBE, optimized geometry); symmetry = No. 12; relative energy among the computed polymorphs = 59.7 meV per atom; total magnetic moment = 0.0 μB per cell
1.0
4.785 0.000 0.000
-2.392 5.812 0.285
0.000 -1.203 9.072
Pr In Co
6 1 2
Direct
0.101 0.202 0.863
0.611 0.221 0.178
0.389 0.779 0.822
0.701 0.403 0.609
0.299 0.597 0.391
0.899 0.798 0.137
0.000 0.000 0.500
0.741 0.482 0.895
0.259 0.518 0.105

---

No. 5
Pr8InCo2 (PBE, optimized geometry); symmetry = No. 12; VASP energy = -55.6 eV per cell; total magnetic moment = 0.0 μB per cell
1.0
-3.686 -2.958 2.904
-2.058 -2.830 -7.468
6.801 -3.291 3.307
Pr In Co
8 1 2
Direct
0.939 0.923 0.669
0.939 0.669 0.923
0.302 0.605 0.605
0.500 0.750 0.250
0.500 0.250 0.750
0.698 0.395 0.395
0.061 0.331 0.077
0.061 0.077 0.331
0.500 0.000 0.000
0.000 0.293 0.707
0.000 0.707 0.293

---

No. 6
Pr3InCo3 (PBE, optimized geometry); symmetry = No. 176; VASP energy = -78.5 eV per cell; total magnetic moment = 5.5 μB per cell
1.0
-0.039 -1.952 -3.331
6.618 6.565 -3.926
3.315 -8.262 4.803
Pr In Co
6 2 6
Direct
0.750 0.375 0.314
0.750 0.939 0.625
0.750 0.686 0.061
0.250 0.625 0.686
0.250 0.061 0.375
0.250 0.314 0.939
0.750 0.333 0.667
0.250 0.667 0.333
0.750 0.023 0.150
0.750 0.127 0.977
0.750 0.850 0.873
0.250 0.977 0.850
0.250 0.873 0.023
0.250 0.150 0.127